Li2ScTa: optimized geometry, PBE-GGA.

Summary:
- Spin magnetization: 2.1 μB/f.u.
- Energy relative to the lowest polymorph listed for this composition: 528 meV/atom
- Energy of formation from the pure elements: 273 kJ/mol of formula units

Cell: 4.770 4.770 4.770 Å, 60.00 60.00 60.00°
Each line ends with the local moment (μB).
Sites, in units of the cell vectors:
Li (0.000, 0.000, 0.000)  -0.01
Li (0.250, 0.250, 0.250)  -0.02
Sc (0.500, 0.500, 0.500)  0.40
Ta (0.750, 0.750, 0.750)  1.15